(1)
Density functional theory data (PBE) for a relaxed LiCuGeMo crystal.

POSCAR file:
```
LiCuGeMo
1.0
0.0000 3.0070 3.0070
3.0070 0.0000 3.0070
3.0070 3.0070 0.0000
Cu Ge Li Mo
1 1 1 1
Cartesian
4.5106 4.5106 4.5106
0.0000 0.0000 0.0000
3.0070 3.0070 3.0070
1.5035 1.5035 1.5035
```

Total energy = -5.09 eV/atom
Crystal system = cubic

***

(2)
Density functional theory data (PBE) for a relaxed K2Na2Sm4Nb2O13 crystal.

POSCAR file:
```
K2Na2Sm4Nb2O13
1.0
12.0523 -2.8291 0.0000
12.0523 2.8291 0.0000
-5.0197 0.0000 10.0313
K Na Nb O Sm
4 4 4 26 8
Cartesian
17.3912 0.3027 1.3406
4.2036 0.3027 3.6751
14.8814 -0.3027 6.3562
1.6937 -0.3027 8.6907
3.7157 0.2247 0.2238
17.8791 0.2247 4.7918
1.2058 -0.2247 5.2395
15.3693 -0.2247 9.8075
7.3056 0.1952 2.1687
14.2891 0.1952 2.8470
4.7958 -0.1952 7.1844
11.7793 -0.1952 7.8626
11.9048 1.4242 0.2397
5.7269 0.3759 1.2104
8.1756 -1.2958 1.2156
14.5237 -1.0950 1.3867
14.5516 1.5592 1.4023
8.8334 1.3123 1.5991
10.7974 -1.4526 2.5078
12.7614 1.3123 3.4166
7.0432 1.5592 3.6134
7.0711 -1.0950 3.6290
13.4192 -1.2958 3.8001
15.8679 0.3759 3.8052
9.6899 1.4242 4.7759
9.3950 -1.4242 5.2554
3.2170 -0.3759 6.2261
5.6658 1.2958 6.2312
12.0139 1.0950 6.4023
12.0418 -1.5593 6.4180
6.3236 -1.3123 6.6147
8.2876 1.4526 7.5235
10.2515 -1.3123 8.4322
4.5333 -1.5593 8.6290
4.5612 1.0950 8.6446
10.9093 1.2958 8.8157
13.3581 -0.3759 8.8209
7.1801 -1.4242 9.7916
10.2728 -0.2656 0.5029
0.6518 0.2139 1.7409
20.9430 0.2139 3.2748
11.3220 -0.2656 4.5128
7.7630 0.2656 5.5186
-1.8581 -0.2139 6.7565
18.4332 -0.2139 8.2904
8.8121 0.2656 9.5284
```

Total energy = -7.52 eV/atom
Crystal system = monoclinic

***

Repeat the second record exactly.
Density functional theory data (PBE) for a relaxed K2Na2Sm4Nb2O13 crystal.

POSCAR file:
```
K2Na2Sm4Nb2O13
1.0
12.0523 -2.8291 0.0000
12.0523 2.8291 0.0000
-5.0197 0.0000 10.0313
K Na Nb O Sm
4 4 4 26 8
Cartesian
17.3912 0.3027 1.3406
4.2036 0.3027 3.6751
14.8814 -0.3027 6.3562
1.6937 -0.3027 8.6907
3.7157 0.2247 0.2238
17.8791 0.2247 4.7918
1.2058 -0.2247 5.2395
15.3693 -0.2247 9.8075
7.3056 0.1952 2.1687
14.2891 0.1952 2.8470
4.7958 -0.1952 7.1844
11.7793 -0.1952 7.8626
11.9048 1.4242 0.2397
5.7269 0.3759 1.2104
8.1756 -1.2958 1.2156
14.5237 -1.0950 1.3867
14.5516 1.5592 1.4023
8.8334 1.3123 1.5991
10.7974 -1.4526 2.5078
12.7614 1.3123 3.4166
7.0432 1.5592 3.6134
7.0711 -1.0950 3.6290
13.4192 -1.2958 3.8001
15.8679 0.3759 3.8052
9.6899 1.4242 4.7759
9.3950 -1.4242 5.2554
3.2170 -0.3759 6.2261
5.6658 1.2958 6.2312
12.0139 1.0950 6.4023
12.0418 -1.5593 6.4180
6.3236 -1.3123 6.6147
8.2876 1.4526 7.5235
10.2515 -1.3123 8.4322
4.5333 -1.5593 8.6290
4.5612 1.0950 8.6446
10.9093 1.2958 8.8157
13.3581 -0.3759 8.8209
7.1801 -1.4242 9.7916
10.2728 -0.2656 0.5029
0.6518 0.2139 1.7409
20.9430 0.2139 3.2748
11.3220 -0.2656 4.5128
7.7630 0.2656 5.5186
-1.8581 -0.2139 6.7565
18.4332 -0.2139 8.2904
8.8121 0.2656 9.5284
```

Total energy = -7.52 eV/atom
Crystal system = monoclinic